Crystalline ZnRh2Br at its relaxed geometry, computed with PBE.

Cell: 5.547 5.547 5.547 Å, 148.48 133.70 57.09°
Positions (direct):
Zn 0.000 0.000 0.000
Rh 0.486 0.486 0.000
Rh 0.733 0.233 0.500
Br 0.271 0.771 0.500

Calculated values
ΔE to the lowest computed polymorph: 187.5 meV/atom
Energy: -4.116 eV per atom
Calculated volume: 64 Å³/f.u.
Formation energy (no corrections): 1.19 eV/f.u.
Total magnetic moment: 0.000 μB/cell
Space group: Imm2 (44)